#a
# LiTlTeI2 (GGA-PBE, relaxed)
data_LiTlTeI2
_cell_length_a 6.267
_cell_length_b 6.267
_cell_length_c 5.776
_cell_angle_alpha 90.00
_cell_angle_beta 90.00
_cell_angle_gamma 90.00
_space_group_name_H-M_alt 'P 4/m m m'
_space_group_IT_number 123
_space_group_name_Hall '-P 4 2'
loop_
_atom_site_label
_atom_site_type_symbol
_atom_site_fract_x
_atom_site_fract_y
_atom_site_fract_z
Li1 Li 0.000 0.000 0.000
Tl1 Tl 0.500 0.500 0.500
Te1 Te 0.500 0.500 0.000
I1 I 0.000 0.500 0.500
# - N(E_F): 5.58 states/eV per cell
# - Spin magnetization: 0.52 μB per formula unit

=====

#b
# LiTlTeI2 (GGA-PBE, relaxed)
data_LiTlTeI2
_cell_length_a 5.725
_cell_length_b 5.725
_cell_length_c 5.253
_cell_angle_alpha 90.00
_cell_angle_beta 90.00
_cell_angle_gamma 90.00
_space_group_name_H-M_alt 'P 4/m m m'
_space_group_IT_number 123
_space_group_name_Hall '-P 4 2'
loop_
_atom_site_label
_atom_site_type_symbol
_atom_site_fract_x
_atom_site_fract_y
_atom_site_fract_z
Li1 Li 0.000 0.000 0.000
Tl1 Tl 0.500 0.500 0.500
Te1 Te 0.000 0.000 0.500
I1 I 0.000 0.500 0.000
# - N(E_F): 5.39 states/eV per cell
# - Spin magnetization: 0.30 μB per formula unit

=====

#b is favored, and the nearest alternative lies 19.0 kJ/mol of atoms above it.

=====

#a
# LiVTe2I (GGA-PBE, relaxed)
data_LiVTe2I
_cell_length_a 4.986
_cell_length_b 4.986
_cell_length_c 5.675
_cell_angle_alpha 90.00
_cell_angle_beta 90.00
_cell_angle_gamma 90.00
_space_group_name_H-M_alt 'P 4/m m m'
_space_group_IT_number 123
_space_group_name_Hall '-P 4 2'
loop_
_atom_site_label
_atom_site_type_symbol
_atom_site_fract_x
_atom_site_fract_y
_atom_site_fract_z
Li1 Li 0.000 0.000 0.000
V1 V 0.500 0.500 0.500
Te1 Te 0.000 0.500 0.000
I1 I 0.000 0.000 0.500
# - N(E_F): 4.04 states/eV per cell
# - Spin magnetization: 2.66 μB per formula unit

=====

#b
# LiVTe2I (GGA-PBE, relaxed)
data_LiVTe2I
_cell_length_a 6.184
_cell_length_b 6.184
_cell_length_c 5.032
_cell_angle_alpha 90.00
_cell_angle_beta 90.00
_cell_angle_gamma 90.00
_space_group_name_H-M_alt 'P 4/m m m'
_space_group_IT_number 123
_space_group_name_Hall '-P 4 2'
loop_
_atom_site_label
_atom_site_type_symbol
_atom_site_fract_x
_atom_site_fract_y
_atom_site_fract_z
Li1 Li 0.000 0.000 0.000
V1 V 0.500 0.500 0.000
Te1 Te 0.000 0.500 0.500
I1 I 0.500 0.500 0.500
# - N(E_F): 5.02 states/eV per cell
# - Spin magnetization: 3.43 μB per formula unit

=====

#a is favored, and the nearest alternative lies 24.3 kJ/mol of atoms above it.

=====

#a
# LiVTeI2 (GGA-PBE, relaxed)
data_LiVTeI2
_cell_length_a 5.327
_cell_length_b 5.327
_cell_length_c 5.280
_cell_angle_alpha 90.00
_cell_angle_beta 90.00
_cell_angle_gamma 90.00
_space_group_name_H-M_alt 'P 4/m m m'
_space_group_IT_number 123
_space_group_name_Hall '-P 4 2'
loop_
_atom_site_label
_atom_site_type_symbol
_atom_site_fract_x
_atom_site_fract_y
_atom_site_fract_z
Li1 Li 0.000 0.000 0.000
V1 V 0.500 0.500 0.500
Te1 Te 0.000 0.000 0.500
I1 I 0.000 0.500 0.000
# - N(E_F): 8.66 states/eV per cell
# - Spin magnetization: 2.80 μB per formula unit

=====

#b
# LiVTeI2 (GGA-PBE, relaxed)
data_LiVTeI2
_cell_length_a 5.782
_cell_length_b 5.782
_cell_length_c 5.180
_cell_angle_alpha 90.00
_cell_angle_beta 90.00
_cell_angle_gamma 90.00
_space_group_name_H-M_alt 'P 4/m m m'
_space_group_IT_number 123
_space_group_name_Hall '-P 4 2'
loop_
_atom_site_label
_atom_site_type_symbol
_atom_site_fract_x
_atom_site_fract_y
_atom_site_fract_z
Li1 Li 0.000 0.000 0.000
V1 V 0.500 0.500 0.500
Te1 Te 0.500 0.500 0.000
I1 I 0.000 0.500 0.500
# - N(E_F): 1.82 states/eV per cell
# - Spin magnetization: 1.99 μB per formula unit

=====

#b is favored, and the nearest alternative lies 59.6 kJ/mol of atoms above it.

=====

#a
# LiTe2WI (GGA-PBE, relaxed)
data_LiTe2WI
_cell_length_a 5.019
_cell_length_b 5.019
_cell_length_c 5.243
_cell_angle_alpha 90.00
_cell_angle_beta 90.00
_cell_angle_gamma 90.00
_space_group_name_H-M_alt 'P 4/m m m'
_space_group_IT_number 123
_space_group_name_Hall '-P 4 2'
loop_
_atom_site_label
_atom_site_type_symbol
_atom_site_fract_x
_atom_site_fract_y
_atom_site_fract_z
Li1 Li 0.000 0.000 0.000
Te1 Te 0.000 0.500 0.000
W1 W 0.500 0.500 0.500
I1 I 0.000 0.000 0.500
# - N(E_F): 4.52 states/eV per cell
# - Spin magnetization: 3.11 μB per formula unit

=====

#b
# LiTe2WI (GGA-PBE, relaxed)
data_LiTe2WI
_cell_length_a 5.239
_cell_length_b 5.239
_cell_length_c 6.162
_cell_angle_alpha 90.00
_cell_angle_beta 90.00
_cell_angle_gamma 90.00
_space_group_name_H-M_alt 'P 4/m m m'
_space_group_IT_number 123
_space_group_name_Hall '-P 4 2'
loop_
_atom_site_label
_atom_site_type_symbol
_atom_site_fract_x
_atom_site_fract_y
_atom_site_fract_z
Li1 Li 0.000 0.000 0.000
Te1 Te 0.000 0.500 0.500
W1 W 0.500 0.500 0.500
I1 I 0.500 0.500 0.000
# - N(E_F): 6.37 states/eV per cell
# - Spin magnetization: 0.00 μB per formula unit

=====

#b is favored, and the nearest alternative lies 78.2 kJ/mol of atoms above it.

=====

#a
# LiYTeI2 (GGA-PBE, relaxed)
data_LiYTeI2
_cell_length_a 5.152
_cell_length_b 5.152
_cell_length_c 5.758
_cell_angle_alpha 90.00
_cell_angle_beta 90.00
_cell_angle_gamma 90.00
_space_group_name_H-M_alt 'P 4/m m m'
_space_group_IT_number 123
_space_group_name_Hall '-P 4 2'
loop_
_atom_site_label
_atom_site_type_symbol
_atom_site_fract_x
_atom_site_fract_y
_atom_site_fract_z
Li1 Li 0.000 0.000 0.000
Y1 Y 0.500 0.500 0.500
Te1 Te 0.000 0.000 0.500
I1 I 0.000 0.500 0.000
# - N(E_F): 0.80 states/eV per cell
# - Spin magnetization: 0.00 μB per formula unit

=====

#b
# LiYTeI2 (GGA-PBE, relaxed)
data_LiYTeI2
_cell_length_a 6.063
_cell_length_b 6.063
_cell_length_c 5.911
_cell_angle_alpha 90.00
_cell_angle_beta 90.00
_cell_angle_gamma 90.00
_space_group_name_H-M_alt 'P 4/m m m'
_space_group_IT_number 123
_space_group_name_Hall '-P 4 2'
loop_
_atom_site_label
_atom_site_type_symbol
_atom_site_fract_x
_atom_site_fract_y
_atom_site_fract_z
Li1 Li 0.000 0.000 0.000
Y1 Y 0.500 0.500 0.500
Te1 Te 0.500 0.500 0.000
I1 I 0.000 0.500 0.500
# - Spin magnetization: 0.00 μB per formula unit

=====

#b is favored, and the nearest alternative lies 33.2 kJ/mol of atoms above it.

=====

#a
# LiZnTeI2 (GGA-PBE, relaxed)
data_LiZnTeI2
_cell_length_a 5.800
_cell_length_b 5.800
_cell_length_c 5.295
_cell_angle_alpha 90.00
_cell_angle_beta 90.00
_cell_angle_gamma 90.00
_space_group_name_H-M_alt 'P 4/m m m'
_space_group_IT_number 123
_space_group_name_Hall '-P 4 2'
loop_
_atom_site_label
_atom_site_type_symbol
_atom_site_fract_x
_atom_site_fract_y
_atom_site_fract_z
Li1 Li 0.000 0.000 0.000
Zn1 Zn 0.500 0.500 0.500
Te1 Te 0.500 0.500 0.000
I1 I 0.000 0.500 0.500
# - N(E_F): 3.53 states/eV per cell
# - Spin magnetization: 0.00 μB per formula unit

=====

#b
# LiZnTeI2 (GGA-PBE, relaxed)
data_LiZnTeI2
_cell_length_a 5.495
_cell_length_b 5.495
_cell_length_c 5.270
_cell_angle_alpha 90.00
_cell_angle_beta 90.00
_cell_angle_gamma 90.00
_space_group_name_H-M_alt 'P 4/m m m'
_space_group_IT_number 123
_space_group_name_Hall '-P 4 2'
loop_
_atom_site_label
_atom_site_type_symbol
_atom_site_fract_x
_atom_site_fract_y
_atom_site_fract_z
Li1 Li 0.000 0.000 0.000
Zn1 Zn 0.500 0.500 0.500
Te1 Te 0.000 0.000 0.500
I1 I 0.000 0.500 0.000
# - N(E_F): 7.92 states/eV per cell
# - Spin magnetization: 0.00 μB per formula unit

=====

#a is favored, and the nearest alternative lies 29.8 kJ/mol of atoms above it.